[1]
Density functional theory data (PBE-GGA) for PrEr2Tl3S6 after structural relaxation.

Computed properties:
Crystal system: monoclinic
E_form (uncorrected) in kJ per mole of atoms: -141.9
Theoretical density in Mg/m³: 6.58

```
12
Lattice="3.526 -6.103 0.000 3.526 6.103 0.000 -2.349 0.000 7.514" Properties=species:S:1:pos:R:3 pbc="T T T"
Pr 0.000 0.000 0.000
Er 3.526 2.034 0.000
Er 3.526 -2.034 0.000
Tl 2.352 4.089 3.757
Tl 2.352 0.000 3.757
Tl 2.352 -4.089 3.757
S 1.222 2.115 1.502
S 0.094 0.000 6.032
S 1.222 -2.115 1.502
S 3.482 2.115 6.012
S 4.610 0.000 1.482
S 3.482 -2.115 6.012
```

[2]
Density functional theory data (PBE-GGA) for Pr4ErTm3S8 after structural relaxation.

Computed properties:
Crystal system: trigonal
E_form (uncorrected) in kJ per mole of atoms: -192.1
Theoretical density in Mg/m³: 6.96

```
16
Lattice="3.919 2.262 6.707 -3.919 2.262 6.707 0.000 -4.525 6.707" Properties=species:S:1:pos:R:3 pbc="T T T"
Pr 0.000 0.000 0.000
Pr -1.959 -1.131 6.707
Pr -1.959 1.131 13.414
Pr 0.000 2.262 6.707
Er 0.000 0.000 10.060
Tm -3.919 0.000 10.060
Tm -1.959 1.131 3.353
Tm 1.959 1.131 3.353
S -1.966 -1.135 11.565
S 0.000 0.000 4.854
S 0.000 -2.270 8.555
S -1.966 1.135 8.555
S 1.966 -1.135 11.565
S 0.000 2.270 11.565
S 0.000 0.000 15.267
S 1.966 1.135 8.555
```

[3]
Density functional theory data (PBE-GGA) for Pr3ErTm2S6 after structural relaxation.

Computed properties:
Crystal system: monoclinic
E_form (uncorrected) in kJ per mole of atoms: -192.5
Theoretical density in Mg/m³: 6.96

```
12
Lattice="3.394 -5.892 0.000 3.394 5.892 0.000 -2.273 0.000 6.688" Properties=species:S:1:pos:R:3 pbc="T T T"
Pr 0.000 0.000 0.000
Pr 3.394 1.957 0.000
Pr 3.394 -1.957 0.000
Er 2.257 0.000 3.344
Tm 2.257 3.928 3.344
Tm 2.257 -3.928 3.344
S 1.125 1.972 1.837
S -0.018 0.000 4.848
S 1.125 -1.972 1.837
S 3.390 1.972 4.851
S 4.532 0.000 1.840
S 3.390 -1.972 4.851
```

[4]
Density functional theory data (PBE-GGA) for Pr4Er3TmS8 after structural relaxation.

Computed properties:
Crystal system: trigonal
E_form (uncorrected) in kJ per mole of atoms: -192.5
Theoretical density in Mg/m³: 6.91

```
16
Lattice="3.928 2.268 6.700 -3.928 2.268 6.700 0.000 -4.536 6.700" Properties=species:S:1:pos:R:3 pbc="T T T"
Pr 0.000 0.000 0.000
Pr -1.964 -1.134 6.700
Pr -1.964 1.134 13.400
Pr 0.000 2.268 6.700
Er -3.928 0.000 10.050
Er -1.964 1.134 3.350
Er 1.964 1.134 3.350
Tm 0.000 0.000 10.050
S 0.000 0.000 4.864
S -1.957 -1.130 11.559
S 0.000 -2.260 8.541
S -1.957 1.130 8.541
S 1.957 -1.130 11.559
S 0.000 2.260 11.559
S 1.957 1.130 8.541
S 0.000 0.000 15.237
```

[5]
Density functional theory data (PBE-GGA) for PrEr2TmS6 after structural relaxation.

Computed properties:
Crystal system: trigonal
E_form (uncorrected) in kJ per mole of atoms: -197.1
Theoretical density in Mg/m³: 5.41

```
10
Lattice="3.469 2.003 6.156 -3.469 2.003 6.156 0.000 -4.006 6.156" Properties=species:S:1:pos:R:3 pbc="T T T"
Pr 0.000 0.000 0.000
Er 0.000 0.000 5.358
Er 0.000 0.000 14.686
Tm 0.000 0.000 9.074
S -2.025 -0.158 7.223
S -1.342 -2.016 10.280
S 1.149 -1.675 7.223
S -1.075 2.170 10.280
S 0.876 1.833 7.223
S 2.417 -0.154 10.280
```

[6]
Density functional theory data (PBE-GGA) for PrErTm2S6 after structural relaxation.

Computed properties:
Crystal system: trigonal
E_form (uncorrected) in kJ per mole of atoms: -197.2
Theoretical density in Mg/m³: 5.45

```
10
Lattice="3.466 2.001 6.140 -3.466 2.001 6.140 0.000 -4.002 6.140" Properties=species:S:1:pos:R:3 pbc="T T T"
Pr 0.000 0.000 0.000
Er 0.000 0.000 9.055
Tm 0.000 0.000 5.346
Tm 0.000 0.000 14.642
S -2.026 -0.176 7.185
S -1.346 -2.041 10.238
S 1.166 -1.666 7.185
S -1.094 2.186 10.238
S 0.860 1.843 7.185
S 2.440 -0.145 10.238
```

[7]
Density functional theory data (PBE-GGA) for Pr2ErTmS4 after structural relaxation.

Computed properties:
Crystal system: monoclinic
E_form (uncorrected) in kJ per mole of atoms: -192.4
Theoretical density in Mg/m³: 6.94

```
8
Lattice="6.800 0.000 0.000 0.000 3.905 0.000 -2.250 0.000 6.726" Properties=species:S:1:pos:R:3 pbc="T T T"
Pr 0.000 0.000 0.000
Pr 3.400 1.953 0.000
Er -1.125 1.953 3.363
Tm 2.275 0.000 3.363
S 0.017 0.000 4.881
S 1.148 1.953 1.850
S 3.402 1.953 4.876
S 4.533 0.000 1.845
```

[8]
Density functional theory data (PBE-GGA) for Pr3Er3TmS8 after structural relaxation.

Computed properties:
Crystal system: trigonal
E_form (uncorrected) in kJ per mole of atoms: -196.9
Theoretical density in Mg/m³: 6.32

```
15
Lattice="3.935 2.272 6.612 -3.935 2.272 6.612 0.000 -4.544 6.612" Properties=species:S:1:pos:R:3 pbc="T T T"
Pr -1.968 -1.136 6.612
Pr -1.968 1.136 13.224
Pr 0.000 2.272 6.612
Er -3.935 0.000 9.918
Er -1.968 1.136 3.306
Er 1.968 1.136 3.306
Tm 0.000 0.000 9.918
S -1.975 -1.140 11.437
S 0.000 0.000 4.813
S 0.000 -2.280 8.399
S -1.975 1.140 8.399
S 1.975 -1.140 11.437
S 0.000 2.280 11.437
S 0.000 0.000 15.022
S 1.975 1.140 8.399
```